Here is a relaxed structure of InPb3Se4 from Alexandria. Energies are from PBE.

Cell lengths 6.1521, 9.4966, 9.5214 Å; angles 90.00, 90.00, 90.00 degrees
Atoms (fractional coordinates):
Se: 0.5646 0.1214 0.5000
Se: 0.0646 0.3356 0.2510
Se: 0.5646 0.6644 0.7510
Se: 0.0646 0.3356 0.7490
Se: 0.0645 0.8194 0.5000
Se: 0.5645 0.1806 0.0000
Se: 0.0646 0.8786 0.0000
Se: 0.5646 0.6644 0.2490
In: 0.5637 0.8229 0.5000
In: 0.0637 0.1771 0.0000
Pb: 0.5644 0.3376 0.7374
Pb: 0.5644 0.3376 0.2626
Pb: 0.5646 0.8539 0.0000
Pb: 0.0644 0.6624 0.7626
Pb: 0.0644 0.6624 0.2374
Pb: 0.0646 0.1461 0.5000

formation energy (no corrections): -0.4476 eV/atom
DOS at the Fermi energy: 4.4 states/eV per cell
crystal system: orthorhombic
space group: Pmn2_1
offset from the most stable computed form: 66 meV/atom